Sn3TePd12 | GGA-PBE | optimized geometry

Output
VASP energy, eV/atom: -5.264
Uncorrected formation energy, eV/atom: -0.422
DOS at the Fermi energy, states/eV/atom: 0.334

a = 4.0604 Å, b = 4.0604 Å, c = 16.1522 Å
α = 90.00°, β = 90.00°, γ = 90.00°
With the nearest neighbours (Å) after each atom.
Element x y z (fractional)
Sn1 0.0000 0.0000 0.0000  12 Pd 2.86-2.87
Sn2 0.0000 0.0000 0.2475  12 Pd 2.84-2.87
Sn3 0.0000 0.0000 0.7525  12 Pd 2.84-2.87
Te1 0.0000 0.0000 0.5000  12 Pd 2.87-2.90
Pd1 0.0000 0.5000 0.1245  4 Sn 2.84-2.86, 8 Pd 2.86-2.87
Pd2 0.0000 0.5000 0.3717  8 Pd 2.84-2.90, 2 Sn 2.85, 2 Te 2.90
Pd3 0.0000 0.5000 0.6283  8 Pd 2.84-2.90, 2 Sn 2.85, 2 Te 2.90
Pd4 0.0000 0.5000 0.8755  4 Sn 2.84-2.86, 8 Pd 2.86-2.87
Pd5 0.5000 0.0000 0.1245  4 Sn 2.84-2.86, 8 Pd 2.86-2.87
Pd6 0.5000 0.0000 0.3717  8 Pd 2.84-2.90, 2 Sn 2.85, 2 Te 2.90
Pd7 0.5000 0.0000 0.6283  8 Pd 2.84-2.90, 2 Sn 2.85, 2 Te 2.90
Pd8 0.5000 0.0000 0.8755  4 Sn 2.84-2.86, 8 Pd 2.86-2.87
Pd9 0.5000 0.5000 0.0000  8 Pd 2.86, 4 Sn 2.87
Pd10 0.5000 0.5000 0.2491  8 Pd 2.84-2.86, 4 Sn 2.87
Pd11 0.5000 0.5000 0.5000  4 Te 2.87, 8 Pd 2.90
Pd12 0.5000 0.5000 0.7509  8 Pd 2.84-2.86, 4 Sn 2.87


SnTe2Pd | GGA-PBE | optimized geometry

Output
VASP energy, eV/atom: -3.731
Uncorrected formation energy, eV/atom: 0.139
DOS at the Fermi energy, states/eV/atom: 0.903

a = 12.2046 Å, b = 12.2046 Å, c = 12.2046 Å
α = 15.04°, β = 15.04°, γ = 15.04°
With the nearest neighbours (Å) after each atom.
Element x y z (fractional)
Sn1 0.0000 0.0000 0.0000  6 Sn 3.19
Te1 0.4280 0.4280 0.4280  1 Pd 2.61
Te2 0.5720 0.5720 0.5720  1 Pd 2.61
Pd1 0.5000 0.5000 0.5000  2 Te 2.61


SnTePd3 | GGA-PBE | optimized geometry

Output
VASP energy, eV/atom: -4.949
Uncorrected formation energy, eV/atom: -0.405
DOS at the Fermi energy, states/eV/atom: 0.471
ΔE to the lowest computed polymorph, kJ per mole of atoms: 0.0

a = 3.3071 Å, b = 3.7522 Å, c = 15.9739 Å
α = 90.00°, β = 92.51°, γ = 90.00°
With the nearest neighbours (Å) after each atom.
Element x y z (fractional)
Sn1 0.2222 0.2500 0.3684  10 Pd 2.84-2.98
Sn2 0.7778 0.7500 0.6316  10 Pd 2.84-2.98
Te1 0.3318 0.2500 0.8906  5 Pd 2.67-2.75
Te2 0.6682 0.7500 0.1094  5 Pd 2.67-2.75
Pd1 0.1829 0.2500 0.1815  4 Te 2.75, 4 Pd 2.92, 1 Sn 2.98
Pd2 0.2600 0.2500 0.5471  5 Pd 2.82-2.92, 5 Sn 2.84-2.85
Pd3 0.2971 0.2500 0.7235  1 Te 2.67, 5 Pd 2.82-2.92, 4 Sn 2.90
Pd4 0.7029 0.7500 0.2765  1 Te 2.67, 5 Pd 2.82-2.92, 4 Sn 2.90
Pd5 0.7400 0.7500 0.4529  5 Pd 2.82-2.92, 5 Sn 2.84-2.85
Pd6 0.8171 0.7500 0.8185  4 Te 2.75, 4 Pd 2.92, 1 Sn 2.98


SnTePd3 | GGA-PBE | optimized geometry

Output
VASP energy, eV/atom: -4.941
Uncorrected formation energy, eV/atom: -0.396
DOS at the Fermi energy, states/eV/atom: 0.471
ΔE to the lowest computed polymorph, kJ per mole of atoms: 0.9

a = 4.4366 Å, b = 8.3588 Å, c = 5.5509 Å
α = 90.00°, β = 90.00°, γ = 90.00°
With the nearest neighbours (Å) after each atom.
Element x y z (fractional)
Sn1 0.0000 0.1263 0.0000  9 Pd 2.71-2.99
Sn2 0.0000 0.8737 0.5000  9 Pd 2.71-2.99
Te1 0.5000 0.3710 0.4006  6 Pd 2.69-2.94
Te2 0.5000 0.6290 0.9006  6 Pd 2.69-2.94
Pd1 0.0000 0.2082 0.5239  2 Te 2.69, 3 Sn 2.73-2.99, 2 Pd 2.96
Pd2 0.0000 0.7918 0.0239  2 Te 2.69, 3 Sn 2.73-2.99, 2 Pd 2.96
Pd3 0.5000 0.0466 0.2670  4 Sn 2.75-2.95, 1 Te 2.81, 6 Pd 2.88-2.98
Pd4 0.5000 0.2958 0.8830  2 Sn 2.71, 3 Te 2.75-2.94, 2 Pd 2.93-2.98
Pd5 0.5000 0.7042 0.3830  2 Sn 2.71, 3 Te 2.75-2.94, 2 Pd 2.93-2.98
Pd6 0.5000 0.9534 0.7670  4 Sn 2.75-2.95, 1 Te 2.81, 6 Pd 2.88-2.98


Sn3Te2Pd7 | GGA-PBE | optimized geometry

Output
VASP energy, eV/atom: -4.864
Uncorrected formation energy, eV/atom: -0.311
DOS at the Fermi energy, states/eV/atom: 0.475

a = 10.3965 Å, b = 10.3965 Å, c = 4.8124 Å
α = 90.00°, β = 90.00°, γ = 152.54°
With the nearest neighbours (Å) after each atom.
Element x y z (fractional)
Sn1 0.0000 0.0000 0.0000  8 Pd 2.82-2.92
Sn2 0.1624 0.8376 0.0000  2 Pd 2.67
Sn3 0.8376 0.1624 0.0000  2 Pd 2.67
Te1 0.3560 0.6440 0.5000  8 Pd 2.75-2.91
Te2 0.6440 0.3560 0.5000  8 Pd 2.75-2.91
Pd1 0.0724 0.9276 0.5000  4 Sn 2.82-3.02, 2 Te 2.86, 4 Pd 2.87-2.98
Pd2 0.2198 0.7802 0.5000  2 Sn 2.67, 3 Te 2.75-2.90, 3 Pd 2.75-2.98
Pd3 0.4230 0.5770 0.0000  2 Te 2.76, 2 Pd 2.86, 4 Sn 2.92-3.01
Pd4 0.5000 0.5000 0.5000  8 Pd 2.86-2.87, 2 Te 2.91
Pd5 0.5770 0.4230 0.0000  2 Te 2.76, 2 Pd 2.86, 4 Sn 2.92-3.01
Pd6 0.7802 0.2198 0.5000  2 Sn 2.67, 3 Te 2.75-2.90, 3 Pd 2.75-2.98
Pd7 0.9276 0.0724 0.5000  4 Sn 2.82-3.02, 2 Te 2.86, 4 Pd 2.87-2.98


SnTe5Pd4 | GGA-PBE | optimized geometry

Output
VASP energy, eV/atom: -4.345
Uncorrected formation energy, eV/atom: -0.297
DOS at the Fermi energy, states/eV/atom: 0.511

a = 8.9657 Å, b = 8.9657 Å, c = 7.5566 Å
α = 104.19°, β = 104.19°, γ = 26.11°
With the nearest neighbours (Å) after each atom.
Element x y z (fractional)
Sn1 0.0000 0.0000 0.0000  6 Pd 2.75-2.80
Te1 0.0000 0.0000 0.5000  4 Pd 2.79
Te2 0.3385 0.3385 0.6712  3 Pd 2.68
Te3 0.3425 0.3425 0.1372  3 Pd 2.69-2.72
Te4 0.6575 0.6575 0.8628  3 Pd 2.69-2.72
Te5 0.6615 0.6615 0.3288  3 Pd 2.68
Pd1 0.1658 0.1658 0.1001  4 Te 2.68-2.69, 1 Sn 2.80
Pd2 0.4970 0.4970 0.7515  4 Te 2.68-2.79, 2 Sn 2.75
Pd3 0.5030 0.5030 0.2485  4 Te 2.68-2.79, 2 Sn 2.75
Pd4 0.8342 0.8342 0.8999  4 Te 2.68-2.69, 1 Sn 2.80


Sn2TePd6 | GGA-PBE | optimized geometry

Output
VASP energy, eV/atom: -5.141
Uncorrected formation energy, eV/atom: -0.440
DOS at the Fermi energy, states/eV/atom: 0.344

a = 7.5589 Å, b = 7.5589 Å, c = 3.2137 Å
α = 90.00°, β = 90.00°, γ = 120.00°
With the nearest neighbours (Å) after each atom.
Element x y z (fractional)
Sn1 0.3333 0.6667 0.0000  9 Pd 2.67-2.87
Sn2 0.6667 0.3333 0.0000  9 Pd 2.67-2.87
Te1 0.0000 0.0000 0.5000  9 Pd 2.75-2.82
Pd1 0.0000 0.2958 0.0000  2 Sn 2.67, 2 Te 2.75, 2 Pd 2.97
Pd2 0.0000 0.6267 0.5000  1 Te 2.82, 4 Sn 2.87, 6 Pd 2.97-3.04
Pd3 0.2958 0.0000 0.0000  2 Sn 2.67, 2 Te 2.75, 2 Pd 2.97
Pd4 0.3733 0.3733 0.5000  1 Te 2.82, 4 Sn 2.87, 6 Pd 2.97-3.04
Pd5 0.6267 0.0000 0.5000  1 Te 2.82, 4 Sn 2.87, 6 Pd 2.97-3.04
Pd6 0.7042 0.7042 0.0000  2 Sn 2.67, 2 Te 2.75, 2 Pd 2.97


Sn2TePd5 | GGA-PBE | optimized geometry

Output
VASP energy, eV/atom: -4.876
Uncorrected formation energy, eV/atom: -0.237
DOS at the Fermi energy, states/eV/atom: 0.500

a = 7.9395 Å, b = 7.9395 Å, c = 13.8724 Å
α = 90.00°, β = 90.00°, γ = 157.38°
With the nearest neighbours (Å) after each atom.
Element x y z (fractional)
Sn1 0.1276 0.8724 0.5857  6 Pd 2.65-2.82
Sn2 0.1276 0.8724 0.9143  6 Pd 2.65-2.82
Sn3 0.8724 0.1276 0.0857  6 Pd 2.65-2.82
Sn4 0.8724 0.1276 0.4143  6 Pd 2.65-2.82
Te1 0.1269 0.8731 0.2500  6 Pd 2.62-2.80
Te2 0.8731 0.1269 0.7500  6 Pd 2.62-2.80
Pd1 0.0425 0.9575 0.0867  1 Te 2.62, 2 Sn 2.65-2.73, 2 Pd 2.75-2.89
Pd2 0.0425 0.9575 0.4132  1 Te 2.62, 2 Sn 2.65-2.73, 2 Pd 2.75-2.89
Pd3 0.2246 0.7754 0.7500  2 Sn 2.73, 2 Te 2.79, 4 Pd 2.88
Pd4 0.2283 0.7717 0.0835  3 Sn 2.73-2.82, 1 Te 2.80, 5 Pd 2.87-2.89
Pd5 0.2283 0.7717 0.4165  3 Sn 2.73-2.82, 1 Te 2.80, 5 Pd 2.87-2.89
Pd6 0.7717 0.2283 0.5835  3 Sn 2.73-2.82, 1 Te 2.80, 5 Pd 2.87-2.89
Pd7 0.7717 0.2283 0.9165  3 Sn 2.73-2.82, 1 Te 2.80, 5 Pd 2.87-2.89
Pd8 0.7754 0.2246 0.2500  2 Sn 2.73, 2 Te 2.79, 4 Pd 2.88
Pd9 0.9575 0.0425 0.5868  1 Te 2.62, 2 Sn 2.65-2.73, 2 Pd 2.75-2.89
Pd10 0.9575 0.0425 0.9132  1 Te 2.62, 2 Sn 2.65-2.73, 2 Pd 2.75-2.89


Question: VASP energy of number 3 (SnTePd3)?
Answer: -4.949 eV/atom